1.
# Hf2Si2Ru

An optimized crystal structure of Hf2Si2Ru (PBE, Alexandria via LeMat-Bulk).

Cell lengths 6.3127, 6.3127, 4.1082 Å; angles 90.00, 90.00, 90.00 degrees
With the nearest neighbours (Å) after each atom.
Element x y z (fractional)
1 Hf 0.1732 0.3268 0.0000  6 Si 2.67-2.84
2 Hf 0.3268 0.8268 0.0000  6 Si 2.67-2.84
3 Hf 0.6732 0.1732 0.0000  6 Si 2.67-2.84
4 Hf 0.8268 0.6732 0.0000  6 Si 2.67-2.84
5 Si 0.1353 0.6353 0.5000  1 Si 2.42, 2 Ru 2.46, 2 Hf 2.67
6 Si 0.3647 0.1353 0.5000  1 Si 2.42, 2 Ru 2.46, 2 Hf 2.67
7 Si 0.6353 0.8647 0.5000  1 Si 2.42, 2 Ru 2.46, 2 Hf 2.67
8 Si 0.8647 0.3647 0.5000  1 Si 2.42, 2 Ru 2.46, 2 Hf 2.67
9 Ru 0.0000 0.0000 0.5000  4 Si 2.46
10 Ru 0.5000 0.5000 0.5000  4 Si 2.46

Calculated values
* formation energy from raw total energies: -0.888 eV/atom
* density: 10.43 g/cm3


2.
# HfSi3Ru3

An optimized crystal structure of HfSi3Ru3 (PBE, Alexandria via LeMat-Bulk).

Cell lengths 6.3966, 6.3966, 6.3966 Å; angles 90.00, 90.00, 90.00 degrees
With the nearest neighbours (Å) after each atom.
Element x y z (fractional)
1 Hf 0.0000 0.0000 0.0000  12 Ru 3.58, 12 Si 3.58
2 Hf 0.5000 0.5000 0.5000  12 Ru 3.58, 12 Si 3.58
3 Si 0.0000 0.2500 0.5000  4 Ru 2.26
4 Si 0.0000 0.7500 0.5000  4 Ru 2.26
5 Si 0.2500 0.5000 0.0000  4 Ru 2.26
6 Si 0.5000 0.0000 0.2500  4 Ru 2.26
7 Si 0.5000 0.0000 0.7500  4 Ru 2.26
8 Si 0.7500 0.5000 0.0000  4 Ru 2.26
9 Ru 0.0000 0.5000 0.2500  4 Si 2.26
10 Ru 0.0000 0.5000 0.7500  4 Si 2.26
11 Ru 0.2500 0.0000 0.5000  4 Si 2.26
12 Ru 0.5000 0.2500 0.0000  4 Si 2.26
13 Ru 0.5000 0.7500 0.0000  4 Si 2.26
14 Ru 0.7500 0.0000 0.5000  4 Si 2.26

Calculated values
* formation energy from raw total energies: 0.277 eV/atom
* density: 7.18 g/cm3


3.
# HfSiRu

An optimized crystal structure of HfSiRu (PBE, Alexandria via LeMat-Bulk).

Cell lengths 3.0351, 3.0351, 10.2127 Å; angles 90.00, 90.00, 90.00 degrees
With the nearest neighbours (Å) after each atom.
Element x y z (fractional)
1 Hf 0.0000 0.0000 0.0000  5 Ru 2.88-3.19, 5 Si 2.91-3.14, 4 Hf 3.04
2 Hf 0.5000 0.5000 0.5000  5 Ru 2.88-3.19, 5 Si 2.91-3.14, 4 Hf 3.04
3 Si 0.0000 0.0000 0.6925  4 Ru 2.47
4 Si 0.5000 0.5000 0.1925  4 Ru 2.47
5 Ru 0.0000 0.0000 0.3121  4 Si 2.47
6 Ru 0.5000 0.5000 0.8121  4 Si 2.47

Calculated values
* formation energy from raw total energies: -0.615 eV/atom
* density: 10.86 g/cm3


4.
# HfSiRu

An optimized crystal structure of HfSiRu (PBE, Alexandria via LeMat-Bulk).

Cell lengths 6.1797, 6.1797, 6.4698 Å; angles 90.00, 90.00, 126.00 degrees
With the nearest neighbours (Å) after each atom.
Element x y z (fractional)
1 Hf 0.1644 0.8356 0.9411  4 Si 2.63-2.88, 2 Ru 2.75
2 Hf 0.3356 0.6644 0.4411  4 Si 2.63-2.88, 2 Ru 2.75
3 Hf 0.6644 0.3356 0.5589  4 Si 2.63-2.88, 2 Ru 2.75
4 Hf 0.8356 0.1644 0.0589  4 Si 2.63-2.88, 2 Ru 2.75
5 Si 0.1037 0.8963 0.5485  1 Si 2.37, 4 Ru 2.46-2.55, 2 Hf 2.63-2.65
6 Si 0.3963 0.6037 0.0485  1 Si 2.37, 4 Ru 2.46-2.55, 2 Hf 2.63-2.65
7 Si 0.6037 0.3963 0.9515  1 Si 2.37, 4 Ru 2.46-2.55, 2 Hf 2.63-2.65
8 Si 0.8963 0.1037 0.4515  1 Si 2.37, 4 Ru 2.46-2.55, 2 Hf 2.63-2.65
9 Ru 0.2012 0.2988 0.7500  4 Si 2.46-2.55, 2 Hf 2.75
10 Ru 0.2988 0.2012 0.2500  4 Si 2.46-2.55, 2 Hf 2.75
11 Ru 0.7012 0.7988 0.7500  4 Si 2.46-2.55, 2 Hf 2.75
12 Ru 0.7988 0.7012 0.2500  4 Si 2.46-2.55, 2 Hf 2.75

Calculated values
* formation energy from raw total energies: -0.676 eV/atom
* density: 10.22 g/cm3


5.
# HfSiTe2Ru

An optimized crystal structure of HfSiTe2Ru (PBE, Alexandria via LeMat-Bulk).

Cell lengths 5.3109, 5.3109, 4.3559 Å; angles 90.00, 90.00, 90.00 degrees
With the nearest neighbours (Å) after each atom.
Element x y z (fractional)
1 Hf 0.0000 0.0000 0.0000  8 Te 3.43, 4 Si 3.76
2 Si 0.5000 0.5000 0.0000  2 Ru 2.18
3 Te 0.0000 0.5000 0.5000  2 Ru 2.66
4 Te 0.5000 0.0000 0.5000  2 Ru 2.66
5 Ru 0.5000 0.5000 0.5000  2 Si 2.18

Calculated values
* formation energy from raw total energies: 0.475 eV/atom
* density: 7.61 g/cm3


6.
# Hf2ZnSi2Ru5

An optimized crystal structure of Hf2ZnSi2Ru5 (PBE, Alexandria via LeMat-Bulk).

Cell lengths 9.6215, 9.6215, 3.2660 Å; angles 90.00, 90.00, 90.00 degrees
With the nearest neighbours (Å) after each atom.
Element x y z (fractional)
1 Hf 0.1726 0.3274 0.0000  3 Si 2.71-2.93, 6 Ru 2.86-3.00
2 Hf 0.3274 0.8274 0.0000  3 Si 2.71-2.93, 6 Ru 2.86-3.00
3 Hf 0.6726 0.1726 0.0000  3 Si 2.71-2.93, 6 Ru 2.86-3.00
4 Hf 0.8274 0.6726 0.0000  3 Si 2.71-2.93, 6 Ru 2.86-3.00
5 Zn 0.0000 0.0000 0.0000  8 Ru 2.66
6 Zn 0.5000 0.5000 0.0000  8 Ru 2.66
7 Si 0.1283 0.6283 0.0000  6 Ru 2.35-2.39
8 Si 0.3717 0.1283 0.0000  6 Ru 2.35-2.39
9 Si 0.6283 0.8717 0.0000  6 Ru 2.35-2.39
10 Si 0.8717 0.3717 0.0000  6 Ru 2.35-2.39
11 Ru 0.0000 0.5000 0.5000  4 Si 2.39
12 Ru 0.0685 0.7932 0.5000  2 Si 2.35
13 Ru 0.2068 0.0685 0.5000  2 Si 2.35
14 Ru 0.2932 0.5685 0.5000  2 Si 2.35
15 Ru 0.4315 0.2932 0.5000  2 Si 2.35
16 Ru 0.5000 0.0000 0.5000  4 Si 2.39
17 Ru 0.5685 0.7068 0.5000  2 Si 2.35
18 Ru 0.7068 0.4315 0.5000  2 Si 2.35
19 Ru 0.7932 0.9315 0.5000  2 Si 2.35
20 Ru 0.9315 0.2068 0.5000  2 Si 2.35

Calculated values
* formation energy from raw total energies: -0.621 eV/atom
* density: 10.81 g/cm3


7.
# HfZr2Si2Ru5

An optimized crystal structure of HfZr2Si2Ru5 (PBE, Alexandria via LeMat-Bulk).

Cell lengths 9.8493, 9.8493, 3.2894 Å; angles 90.00, 90.00, 90.00 degrees
With the nearest neighbours (Å) after each atom.
Element x y z (fractional)
1 Hf 0.0000 0.0000 0.0000  8 Ru 2.74
2 Hf 0.5000 0.5000 0.0000  8 Ru 2.74
3 Zr 0.1734 0.3266 0.0000  3 Si 2.81-2.98, 10 Ru 2.92-3.11
4 Zr 0.3266 0.8266 0.0000  3 Si 2.81-2.98, 10 Ru 2.92-3.11
5 Zr 0.6734 0.1734 0.0000  3 Si 2.81-2.98, 10 Ru 2.92-3.11
6 Zr 0.8266 0.6734 0.0000  3 Si 2.81-2.98, 10 Ru 2.92-3.11
7 Si 0.1251 0.6251 0.0000  6 Ru 2.36-2.40
8 Si 0.3749 0.1251 0.0000  6 Ru 2.36-2.40
9 Si 0.6251 0.8749 0.0000  6 Ru 2.36-2.40
10 Si 0.8749 0.3749 0.0000  6 Ru 2.36-2.40
11 Ru 0.0000 0.5000 0.5000  4 Si 2.40
12 Ru 0.0692 0.7879 0.5000  2 Si 2.36
13 Ru 0.2121 0.0692 0.5000  2 Si 2.36
14 Ru 0.2879 0.5692 0.5000  2 Si 2.36
15 Ru 0.4308 0.2879 0.5000  2 Si 2.36
16 Ru 0.5000 0.0000 0.5000  4 Si 2.40
17 Ru 0.5692 0.7121 0.5000  2 Si 2.36
18 Ru 0.7121 0.4308 0.5000  2 Si 2.36
19 Ru 0.7879 0.9308 0.5000  2 Si 2.36
20 Ru 0.9308 0.2121 0.5000  2 Si 2.36

Calculated values
* formation energy from raw total energies: -0.765 eV/atom
* density: 9.60 g/cm3


8.
# SmHf2Ru

An optimized crystal structure of SmHf2Ru (PBE, Alexandria via LeMat-Bulk).

Cell lengths 3.2889, 3.2889, 8.0403 Å; angles 90.00, 90.00, 90.00 degrees
With the nearest neighbours (Å) after each atom.
Element x y z (fractional)
1 Sm 0.0000 0.0000 0.0000  4 Sm 3.29, 8 Hf 3.38
2 Hf 0.5000 0.5000 0.3055  4 Ru 2.80, 1 Hf 3.13
3 Hf 0.5000 0.5000 0.6945  4 Ru 2.80, 1 Hf 3.13
4 Ru 0.0000 0.0000 0.5000  8 Hf 2.80

Calculated values
* formation energy from the elements: -0.22 eV/atom
* density: 11.62 g/cm3